MgCr2F12: relaxed, PBE+U.

a b c (Å): 5.3239 10.8197 5.3783
angles (deg): 57.18 57.63 58.45
Closest atoms and distances in Å follow each position.
Atoms (fractional coordinates):
Mg 0.5000 0.7500 0.5000  6 F 2.00-2.03
Cr 0.0168 0.0054 0.9755  6 F 1.74-1.88
Cr 0.9832 0.4946 0.0245  6 F 1.74-1.88
F 0.3575 0.0543 0.7716  1 Cr 1.74
F 0.3124 0.5757 0.7700  1 Cr 1.86, 1 Mg 2.03
F 0.1197 0.3928 0.3369  1 Cr 1.74
F 0.1484 0.8806 0.3241  1 Cr 1.87, 1 Mg 2.02
F 0.2068 0.3367 0.8973  1 Cr 1.75
F 0.2426 0.8319 0.8514  1 Cr 1.88, 1 Mg 2.00
F 0.8803 0.1072 0.6631  1 Cr 1.74
F 0.8516 0.6194 0.6759  1 Cr 1.87, 1 Mg 2.02
F 0.6425 0.4457 0.2284  1 Cr 1.74
F 0.6876 0.9243 0.2300  1 Cr 1.86, 1 Mg 2.03
F 0.7932 0.1633 0.1027  1 Cr 1.75
F 0.7574 0.6681 0.1486  1 Cr 1.88, 1 Mg 2.00

Computed properties:
crystal system = triclinic
E = -4.9013 eV/atom
ρ = 2.85 g cm⁻³
distance to the lowest polymorph of the same formula = 0 meV/atom
size of the total moment = 2.00 μB/cell